Entry 1:
{"formula": "Zr2MnIrC", "functional": "PBE", "state": "optimized geometry", "cell": [[-2.3698, -3.8984, 0.4076], [3.8121, -2.1815, 1.2997], [-0.7288, 0.8083, 3.4942]], "species": ["Zr", "C", "Zr", "Ir", "Mn"], "fractional_positions": [[0.0000, 0.5000, 0.0000], [0.0000, 0.0000, 0.0000], [0.5000, 0.0000, 0.0000], [0.5000, 0.5000, 0.5000], [0.0000, 0.0000, 0.5000]], "spacegroup": "P4/mmm, No. 123", "delta_e_f_kj_per_mol_atoms": -48.6}

Entry 2:
{"formula": "BeP2W", "functional": "PBE", "state": "optimized geometry", "cell": [[3.2579, 0.0000, 0.0000], [0.0000, 3.2579, 0.0000], [0.0000, 0.0000, 4.9134]], "species": ["W", "P", "P", "Be"], "fractional_positions": [[0.0000, 0.0000, 0.4684], [0.0000, 0.0000, 0.9586], [0.5000, 0.5000, 0.2813], [0.5000, 0.5000, 0.7916]], "spacegroup": "P4mm, No. 99", "delta_e_f_kj_per_mol_atoms": 8.6}

Entry 3:
{"formula": "TlTcPt2", "functional": "PBE", "state": "optimized geometry", "cell": [[2.8713, 0.0046, 0.0000], [-0.0047, 2.8713, 0.0000], [0.0000, 0.0000, 8.5047]], "species": ["Tl", "Pt", "Pt", "Tc"], "fractional_positions": [[0.5000, 0.5000, 0.7500], [0.0000, 0.0000, 0.4647], [0.0000, 0.0000, 0.0353], [0.5000, 0.5000, 0.2500]], "spacegroup": "P4/mmm, No. 123", "delta_e_f_kj_per_mol_atoms": 8.6, "polymorph_energy_mev_per_atom": 0.0}

Entry 4:
{"formula": "Pm7MgGe2", "functional": "PBE", "state": "optimized geometry", "cell": [[-3.6814, 1.4651, 3.4213], [3.9741, -3.0258, 1.5670], [6.8177, 10.4384, 2.8659]], "species": ["Pm", "Pm", "Mg", "Pm", "Ge", "Pm", "Pm", "Pm", "Ge", "Pm"], "fractional_positions": [[0.6667, 0.3333, 0.5855], [0.6667, 0.3333, 0.8460], [0.0000, 0.0000, 0.0004], [0.0000, 0.0000, 0.2840], [0.6667, 0.3333, 0.3562], [0.6667, 0.3333, 0.1256], [0.0000, 0.0000, 0.7206], [0.3333, 0.6667, 0.9674], [0.3333, 0.6667, 0.6911], [0.3333, 0.6667, 0.4397]], "spacegroup": "P3m1, No. 156", "delta_e_f_kj_per_mol_atoms": -19.6}

The following M_tot values (in μB per atom) correspond, in order, to the records above: 0.000, 0.000, 0.000, 0.000.